Below is an optimized crystal structure of AsRhSBr2, with properties calculated at the PBE level.

Output
Volume: 123 Å³/f.u.
DOS at the Fermi energy: 8.38 states/eV/f.u.
ΔE to the lowest computed polymorph: 520 meV/atom

Cell and atoms, written as POSCAR:
```
AsRhSBr2
1.0
5.0305 0.0000 0.0000
0.0000 5.0305 0.0000
0.0000 0.0000 4.8788
As Rh S Br
1 1 1 2
Cartesian
0.0000 0.0000 0.0000
2.5153 2.5153 0.0000
0.0000 0.0000 2.4394
0.0000 2.5153 2.4394
2.5153 0.0000 2.4394
```